(1)
A relaxed structure of Sr12Ca3Mg, computed with GGA-PBE.

```
data_Sr12Ca3Mg
_cell_length_a 5.8726
_cell_length_b 5.8726
_cell_length_c 23.0986
_cell_angle_alpha 90.00
_cell_angle_beta 90.00
_cell_angle_gamma 90.00
_space_group_name_H-M_alt 'P 4/m m m'
_space_group_IT_number 123
_space_group_name_Hall '-P 4 2'
loop_
_atom_site_label
_atom_site_fract_x
_atom_site_fract_y
_atom_site_fract_z
Sr1 0.0000 0.0000 0.0000
Sr2 0.0000 0.0000 0.2426
Sr3 0.0000 0.0000 0.5000
Sr4 0.0000 0.5000 0.1153
Sr5 0.0000 0.5000 0.3717
Ca1 0.5000 0.5000 0.2442
Ca2 0.5000 0.5000 0.5000
Mg1 0.5000 0.5000 0.0000
```

Summary:
Energy of formation, eV per atom: 0.019
Raw total energy, eV/atom: -1.717
V, Å³/atom: 49.79

=====

(2)
A relaxed structure of SrCa4Mg, computed with GGA-PBE.

```
data_SrCa4Mg
_cell_length_a 10.1011
_cell_length_b 10.1011
_cell_length_c 10.1011
_cell_angle_alpha 90.00
_cell_angle_beta 90.00
_cell_angle_gamma 90.00
_space_group_name_H-M_alt 'F -4 3 m'
_space_group_IT_number 216
_space_group_name_Hall 'F -4 2 3'
loop_
_atom_site_label
_atom_site_fract_x
_atom_site_fract_y
_atom_site_fract_z
Sr1 0.0000 0.0000 0.0000
Ca1 0.1246 0.1246 0.3754
Mg1 0.2500 0.2500 0.7500
```

Summary:
Energy of formation, eV per atom: 0.168
Raw total energy, eV/atom: -1.712
E above lowest polymorph, meV per atom: 180
V, Å³/atom: 42.94

=====

(3)
A relaxed structure of Sr4Ca3Mg, computed with GGA-PBE.

```
data_Sr4Ca3Mg
_cell_length_a 4.1580
_cell_length_b 4.1580
_cell_length_c 21.0052
_cell_angle_alpha 90.00
_cell_angle_beta 90.00
_cell_angle_gamma 90.00
_space_group_name_H-M_alt 'P 4/m m m'
_space_group_IT_number 123
_space_group_name_Hall '-P 4 2'
loop_
_atom_site_label
_atom_site_fract_x
_atom_site_fract_y
_atom_site_fract_z
Sr1 0.0000 0.0000 0.0990
Sr2 0.0000 0.0000 0.3665
Ca1 0.5000 0.5000 0.2330
Ca2 0.5000 0.5000 0.5000
Mg1 0.5000 0.5000 0.0000
```

Summary:
Energy of formation, eV per atom: 0.000
Raw total energy, eV/atom: -1.790
V, Å³/atom: 45.40

=====

(4)
A relaxed structure of Sr2CaMg2, computed with GGA-PBE.

```
data_Sr2CaMg2
_cell_length_a 6.9735
_cell_length_b 4.2252
_cell_length_c 14.1215
_cell_angle_alpha 90.00
_cell_angle_beta 95.02
_cell_angle_gamma 90.00
_space_group_name_H-M_alt 'P 1 21/m 1'
_space_group_IT_number 11
loop_
_space_group_symop_operation_xyz
'x,y,z'
'-x,-y,-z'
'-x,y+1/2,-z'
'x,-y+1/2,z'
loop_
_atom_site_label
_atom_site_fract_x
_atom_site_fract_y
_atom_site_fract_z
Sr1 0.0817 0.2500 0.3645
Sr2 0.2627 0.2500 0.0641
Ca1 0.4428 0.2500 0.7104
Mg1 0.2173 0.7500 0.8567
Mg2 0.3638 0.7500 0.5250
```

Summary:
Energy of formation, eV per atom: 0.057
Raw total energy, eV/atom: -1.654
E above lowest polymorph, meV per atom: 74
V, Å³/atom: 41.45

=====

(5)
A relaxed structure of Sr12Ca7Mg, computed with GGA-PBE.

```
data_Sr12Ca7Mg
_cell_length_a 22.1421
_cell_length_b 22.1421
_cell_length_c 7.3028
_cell_angle_alpha 90.00
_cell_angle_beta 90.00
_cell_angle_gamma 120.00
_space_group_name_H-M_alt 'R -3'
_space_group_IT_number 148
_space_group_name_Hall '-R 3'
loop_
_atom_site_label
_atom_site_fract_x
_atom_site_fract_y
_atom_site_fract_z
Sr1 0.0214 0.4236 0.0463
Sr2 0.0971 0.8709 0.8529
Ca1 0.0000 0.0000 0.0000
Ca2 0.0534 0.8967 0.3476
Mg1 0.0000 0.0000 0.5000
```

Summary:
Energy of formation, eV per atom: 0.126
Raw total energy, eV/atom: -1.663
E above lowest polymorph, meV per atom: 0
V, Å³/atom: 51.68

=====

(6)
A relaxed structure of Sr12Ca6Mg, computed with GGA-PBE.

```
data_Sr12Ca6Mg
_cell_length_a 13.7458
_cell_length_b 13.7458
_cell_length_c 17.4248
_cell_angle_alpha 90.00
_cell_angle_beta 90.00
_cell_angle_gamma 120.00
_space_group_name_H-M_alt 'R -3'
_space_group_IT_number 148
_space_group_name_Hall '-R 3'
loop_
_atom_site_label
_atom_site_fract_x
_atom_site_fract_y
_atom_site_fract_z
Sr1 0.0363 0.8508 0.3148
Sr2 0.0625 0.2165 0.9125
Ca1 0.0437 0.5957 0.2025
Mg1 0.0000 0.0000 0.5000
```

Summary:
Energy of formation, eV per atom: 0.036
Raw total energy, eV/atom: -1.742
V, Å³/atom: 50.02